Computed, not measured: a relaxed structure of Nd3NiSeCl at the PBE-GGA level of DFT.

The structure belongs to space group P2_1/m (No. 11); the cell edges are 7.873, 3.849 and 10.801 Å and the angles 90.00°, 109.54° and 90.00°. Symmetry generates all atoms from Nd at (0.032, 0.250, 0.280), Nd at (0.243, 0.250, 0.043), Nd at (0.348, 0.750, 0.581), Ni at (0.065, 0.250, 0.557), Se at (0.341, 0.750, 0.282) and Cl at (0.351, 0.750, 0.876).

For the calculated volume, the calculation gives 308 Å³/cell. The value obtained for the formation energy without anion corrections is -1.1077 eV per atom. The density is 6.52 Mg/m³. Its magnetization is 0.00 μB per atom.

=====

Computed, not measured: a relaxed structure of La2YIrPb at the PBE-GGA level of DFT.

The structure belongs to space group P4/mmm (No. 123); the cell edges are 5.512, 5.512 and 5.521 Å and the angles 90.00°, 90.00° and 90.00°. Symmetry generates all atoms from La at (0.000, 0.500, 0.000), Y at (0.000, 0.000, 0.500), Ir at (0.000, 0.000, 0.000) and Pb at (0.500, 0.500, 0.500).

For the calculated volume, the calculation gives 168 Å³/cell. Its formation enthalpy at 0 K is -0.53 eV per atom. The density is 7.58 Mg/m³. Its magnetization is 0.00 μB per atom.

=====

What did the second record say?
Computed, not measured: a relaxed structure of La2YIrPb at the PBE-GGA level of DFT.

The structure belongs to space group P4/mmm (No. 123); the cell edges are 5.512, 5.512 and 5.521 Å and the angles 90.00°, 90.00° and 90.00°. Symmetry generates all atoms from La at (0.000, 0.500, 0.000), Y at (0.000, 0.000, 0.500), Ir at (0.000, 0.000, 0.000) and Pb at (0.500, 0.500, 0.500).

For the calculated volume, the calculation gives 168 Å³/cell. Its formation enthalpy at 0 K is -0.53 eV per atom. The density is 7.58 Mg/m³. Its magnetization is 0.00 μB per atom.

=====

Q: Number 2 is which compound?
A: La2YIrPb

=====

Q: The highest calculated volume belongs to which entry?
A: Nd3NiSeCl

=====

Q: The lowest calculated volume belongs to which entry?
A: La2YIrPb